Entry 1:
Ho3Mg3TlZnAg | PBE-GGA | optimized geometry

Computed properties:
- symmetry = P-6, No. 174
- magnetization (μB/cell) = 0.02
- total energy (eV/atom) = -3.06

abc: 7.6851 7.6851 4.1847
angles: 90.00 90.00 120.00
Last column: nearest neighbours and their distance in Å.
Sites, in units of the cell vectors:
Mg1 0.9954 0.7521 0.0000  2 Ag 2.82, 1 Zn 2.93, 1 Tl 2.98
Ho1 0.4223 0.0178 0.5000  2 Zn 3.04, 1 Ag 3.18, 2 Tl 3.21, 4 Mg 3.35-3.39
Tl1 0.3333 0.6667 0.0000  3 Mg 2.98, 6 Ho 3.21
Zn1 0.6667 0.3333 0.0000  3 Mg 2.93, 6 Ho 3.04
Ho2 0.5955 0.5777 0.5000  2 Zn 3.04, 1 Ag 3.18, 2 Tl 3.21, 4 Mg 3.35-3.39
Mg2 0.2479 0.2433 0.0000  2 Ag 2.82, 1 Zn 2.93, 1 Tl 2.98
Mg3 0.7567 0.0046 0.0000  2 Ag 2.82, 1 Zn 2.93, 1 Tl 2.98
Ho3 0.9822 0.4045 0.5000  2 Zn 3.04, 1 Ag 3.18, 2 Tl 3.21, 4 Mg 3.35-3.39
Ag1 0.0000 0.0000 0.5000  6 Mg 2.82

***

Entry 2:
HoTmMg2Ag4 | PBE-GGA | optimized geometry

Computed properties:
- symmetry = P4/mmm, No. 123
- magnetization (μB/cell) = 0.01
- total energy (eV/atom) = -3.24

abc: 4.8843 4.8843 6.9055
angles: 90.00 90.00 90.00
Last column: nearest neighbours and their distance in Å.
Sites, in units of the cell vectors:
Ag1 0.5000 0.0000 0.7505  4 Mg 2.99, 2 Tm 2.99, 2 Ho 2.99
Tm1 0.5000 0.5000 0.0000  8 Ag 2.99
Mg1 0.0000 0.0000 0.0000  8 Ag 2.99
Ag2 0.0000 0.5000 0.2495  2 Tm 2.99, 4 Mg 2.99, 2 Ho 2.99
Ho1 0.0000 0.0000 0.5000  8 Ag 2.99
Mg2 0.5000 0.5000 0.5000  8 Ag 2.99
Ag3 0.5000 0.0000 0.2495  4 Mg 2.99, 2 Tm 2.99, 2 Ho 2.99
Ag4 0.0000 0.5000 0.7505  2 Tm 2.99, 4 Mg 2.99, 2 Ho 2.99

***

What did the first record say?
Ho3Mg3TlZnAg | PBE-GGA | optimized geometry

Computed properties:
- symmetry = P-6, No. 174
- magnetization (μB/cell) = 0.02
- total energy (eV/atom) = -3.06

abc: 7.6851 7.6851 4.1847
angles: 90.00 90.00 120.00
Last column: nearest neighbours and their distance in Å.
Sites, in units of the cell vectors:
Mg1 0.9954 0.7521 0.0000  2 Ag 2.82, 1 Zn 2.93, 1 Tl 2.98
Ho1 0.4223 0.0178 0.5000  2 Zn 3.04, 1 Ag 3.18, 2 Tl 3.21, 4 Mg 3.35-3.39
Tl1 0.3333 0.6667 0.0000  3 Mg 2.98, 6 Ho 3.21
Zn1 0.6667 0.3333 0.0000  3 Mg 2.93, 6 Ho 3.04
Ho2 0.5955 0.5777 0.5000  2 Zn 3.04, 1 Ag 3.18, 2 Tl 3.21, 4 Mg 3.35-3.39
Mg2 0.2479 0.2433 0.0000  2 Ag 2.82, 1 Zn 2.93, 1 Tl 2.98
Mg3 0.7567 0.0046 0.0000  2 Ag 2.82, 1 Zn 2.93, 1 Tl 2.98
Ho3 0.9822 0.4045 0.5000  2 Zn 3.04, 1 Ag 3.18, 2 Tl 3.21, 4 Mg 3.35-3.39
Ag1 0.0000 0.0000 0.5000  6 Mg 2.82

***

total energy of number 2 (HoTmMg2Ag4)? -3.24 eV/atom

***

What did the second record say?
HoTmMg2Ag4 | PBE-GGA | optimized geometry

Computed properties:
- symmetry = P4/mmm, No. 123
- magnetization (μB/cell) = 0.01
- total energy (eV/atom) = -3.24

abc: 4.8843 4.8843 6.9055
angles: 90.00 90.00 90.00
Last column: nearest neighbours and their distance in Å.
Sites, in units of the cell vectors:
Ag1 0.5000 0.0000 0.7505  4 Mg 2.99, 2 Tm 2.99, 2 Ho 2.99
Tm1 0.5000 0.5000 0.0000  8 Ag 2.99
Mg1 0.0000 0.0000 0.0000  8 Ag 2.99
Ag2 0.0000 0.5000 0.2495  2 Tm 2.99, 4 Mg 2.99, 2 Ho 2.99
Ho1 0.0000 0.0000 0.5000  8 Ag 2.99
Mg2 0.5000 0.5000 0.5000  8 Ag 2.99
Ag3 0.5000 0.0000 0.2495  4 Mg 2.99, 2 Tm 2.99, 2 Ho 2.99
Ag4 0.0000 0.5000 0.7505  2 Tm 2.99, 4 Mg 2.99, 2 Ho 2.99